Here is a geometry-optimized RbSrCaTl2 structure from the Alexandria database. Energies are from PBE-GGA.

The energy comes out at -1.36 eV/atom. For the formation enthalpy at 0 K, the calculation gives 515 meV per atom. Its total magnetization is 0.000 μB per formula unit.

It has space group P4/mmm (No. 123), with a = 6.2249 Å, b = 6.2249 Å, c = 6.1775 Å, α = 90.00°, β = 90.00° and γ = 90.00°. Symmetry generates all atoms from Rb at (0.0000, 0.0000, 0.0000), Sr at (0.5000, 0.5000, 0.5000), Ca at (0.0000, 0.0000, 0.5000) and Tl at (0.0000, 0.5000, 0.0000).